The following is a PBE-GGA calculation of SmHo12Tl3 after structural relaxation, from Alexandria.

- final energy (eV/atom) = -4.292
- calculated formation energy (eV per atom) = -0.120
- M_tot (Bohr magnetons per cell) = 0.00
- crystal system = tetragonal
- Fermi-level density of states (states/eV/cell) = 19.908

Geometry as CIF:
```
data_SmHo12Tl3
_chemical_formula_sum 'Sm1 Ho12 Tl3'
_symmetry_space_group_name_H-M 'P 4/m m m'
_symmetry_Int_Tables_number 123
_symmetry_space_group_name_Hall '-P 4 2'
_cell_length_a 4.8453
_cell_length_b 4.8453
_cell_length_c 19.8132
_cell_angle_alpha 90.00
_cell_angle_beta 90.00
_cell_angle_gamma 90.00
loop_
_atom_site_label
_atom_site_type_symbol
_atom_site_fract_x
_atom_site_fract_y
_atom_site_fract_z
_atom_site_occupancy
Sm1 Sm 0.0000 0.0000 0.0000 1
Ho1 Ho 0.0000 0.5000 0.1310 1
Ho2 Ho 0.0000 0.5000 0.3774 1
Ho3 Ho 0.5000 0.5000 0.0000 1
Ho4 Ho 0.5000 0.5000 0.2556 1
Ho5 Ho 0.5000 0.5000 0.5000 1
Tl1 Tl 0.0000 0.0000 0.2570 1
Tl2 Tl 0.0000 0.0000 0.5000 1
```